Density functional theory data (PBE) for a relaxed structure of Rb3NbP.

It has space group Pm-3m (No. 221), with a = 6.5502 Å, b = 6.5502 Å, c = 6.5502 Å, α = 90.00°, β = 90.00° and γ = 90.00°. The asymmetric unit holds Rb at (0.0000, 0.0000, 0.5000), Nb at (0.5000, 0.5000, 0.5000) and P at (0.0000, 0.0000, 0.0000).

The calculation puts the formation energy at 527 kJ/mol of formula units. For the total moment, the calculation gives 4.65 μB per formula unit.



Density functional theory data (PBE) for a relaxed structure of Tl2CrNi.

It has space group Fm-3m (No. 225), with a = 6.6838 Å, b = 6.6838 Å, c = 6.6838 Å, α = 90.00°, β = 90.00° and γ = 90.00°. The asymmetric unit holds Tl at (0.2500, 0.2500, 0.2500), Cr at (0.0000, 0.0000, 0.0000) and Ni at (0.0000, 0.0000, 0.5000).

The calculation puts the formation energy at 189 kJ/mol of formula units. For the total moment, the calculation gives 3.95 μB per formula unit.



Density functional theory data (PBE) for a relaxed structure of BiSbH.

It has space group C2/m (No. 12), with a = 13.2082 Å, b = 3.5230 Å, c = 6.6807 Å, α = 90.00°, β = 102.98° and γ = 90.00°. The asymmetric unit holds Bi at (0.0954, 0.0000, 0.3235), Sb at (0.1473, 0.0000, 0.9081) and H at (0.1787, 0.5000, 0.3844).

The total energy comes out at -0.251 Ry per atom. For the total moment, the calculation gives 0.00 μB per formula unit.



Density functional theory data (PBE) for a relaxed structure of CuOsW2.

It has space group R-3m (No. 166, hexagonal axes), with a = 2.7628 Å, b = 2.7628 Å, c = 27.2639 Å, α = 90.00°, β = 90.00° and γ = 120.00°. The asymmetric unit holds Cu at (0.0000, 0.0000, 0.0000), Os at (0.0000, 0.0000, 0.5000) and W at (0.0000, 0.0000, 0.2501).

The calculation puts the formation energy at 105 kJ/mol of formula units. For the total moment, the calculation gives 0.00 μB per formula unit.



It is found that the density of states at the Fermi level values, taken in the order of the records, are 6.85, 8.52, 3.70, 5.11 states/eV per cell.